No. 1
GGA-PBE BeGa3Co4, relaxed; formation enthalpy at 0 K = -2.291 eV per formula unit; mass density = 8.444 g cm⁻³; space group = No. 123; VASP energy = -43.522 eV per cell; total magnetic moment = 0.000 μB/cell; volume = 89 Å³ per cell
1.0
-1.135 2.580 -0.002
-2.127 -0.937 -1.594
-5.821 -2.552 9.269
Be Co Ga
1 4 3
Cartesian
-1.631 0.821 -0.798
-5.180 -2.271 8.249
-0.641 -0.281 1.020
-2.153 -0.944 3.429
-3.667 -1.608 5.840
-3.003 0.219 1.387
-4.541 -0.455 3.837
-6.080 -1.129 6.286


No. 2
GGA-PBE Be2Ga2Co3, relaxed; formation enthalpy at 0 K = -1.624 eV per formula unit; mass density = 7.550 g cm⁻³; space group = No. 65; VASP energy = -36.448 eV per cell; total magnetic moment = 0.000 μB/cell; volume = 74 Å³ per cell
1.0
3.296 0.000 0.437
0.000 2.645 0.000
0.548 0.000 8.506
Be Ga Co
2 2 3
Cartesian
2.673 1.323 5.124
1.170 1.323 3.818
2.373 1.323 7.386
1.470 1.323 1.556
2.923 0.000 3.246
0.000 0.000 0.000
0.921 0.000 5.697


No. 3
GGA-PBE Be4GaCo5, relaxed; formation enthalpy at 0 K = -2.852 eV per formula unit; mass density = 7.083 g cm⁻³; space group = No. 123; VASP energy = -56.313 eV per cell; total magnetic moment = 1.568 μB/cell; volume = 94 Å³ per cell
1.0
-0.910 -2.132 1.294
2.483 -0.907 0.252
1.204 6.500 11.559
Be Ga Co
4 1 5
Cartesian
0.260 1.402 2.494
0.487 2.629 4.676
0.717 3.870 6.883
0.944 5.097 9.065
0.000 0.000 0.000
0.929 -0.747 2.148
1.160 0.496 4.357
1.388 1.730 6.552
1.617 2.964 8.747
1.847 4.207 10.956